DFT (PBE+U) results for a relaxed K3YbV2O8 crystal.

Lattice parameters (Å, degrees): 6.0184 6.0184 7.6716 90.00 90.00 120.00
Last column: nearest neighbours and their distance in Å.
Sites, in units of the cell vectors:
K  0.6667  0.3333  0.3124  1 O 2.58
O  0.3491  0.1745  0.6769  1 V 1.76
V  0.3333  0.6667  0.2436  4 O 1.69-1.76
O  0.8255  0.1745  0.6769  1 V 1.76
O  0.8255  0.6509  0.6769  1 V 1.76
K  0.0000  0.0000  0.0000  6 O 3.07
O  0.1745  0.3491  0.3231  1 V 1.76
O  0.6667  0.3333  0.9762  1 V 1.69
O  0.1745  0.8255  0.3231  1 V 1.76
O  0.6509  0.8255  0.3231  1 V 1.76
V  0.6667  0.3333  0.7564  4 O 1.69-1.76
Yb  0.0000  0.0000  0.5000  6 O 2.27
K  0.3333  0.6667  0.6876  1 O 2.58
O  0.3333  0.6667  0.0238  1 V 1.69

Output
Electronic total energy   -6.415 eV/atom
SG   No. 164
M_tot   1.1 μB/f.u.